Record 1
Density functional theory data (GGA-PBE) for K2Np2Br2O5 after structural relaxation.

Cell lengths 4.2595, 4.2595, 13.5899 Å; angles 99.02, 99.02, 90.00 degrees
Closest atoms and distances in Å follow each position.
Atoms (fractional coordinates):
K 0.3361 0.3361 0.6723  4 O 2.97, 4 Br 3.11
K 0.6639 0.6639 0.3277  4 O 2.97, 4 Br 3.11
Np 0.0779 0.0779 0.1558  5 O 2.06-2.14
Np 0.9221 0.9221 0.8442  5 O 2.06-2.14
Br 0.1930 0.1930 0.3860  1 Np 3.05, 4 K 3.11
Br 0.8070 0.8070 0.6140  1 Np 3.05, 4 K 3.11
O 0.0000 0.0000 0.0000  2 Np 2.06
O 0.5860 0.0860 0.1721  2 Np 2.14
O 0.9140 0.4140 0.8279  2 Np 2.14
O 0.0860 0.5860 0.1721  2 Np 2.14
O 0.4140 0.9140 0.8279  2 Np 2.14

Values from the calculation:
Its symmetry is No. 139. The value obtained for the density of states at the Fermi level is 10.899 states/eV/cell. The uncorrected formation energy is -2.385 eV per atom.

***

Record 2
Density functional theory data (GGA-PBE) for Ca2ZrTlO6 after structural relaxation.

Cell lengths 5.7800, 5.7800, 6.0218 Å; angles 61.32, 61.33, 60.01 degrees
Closest atoms and distances in Å follow each position.
Atoms (fractional coordinates):
Ca 0.5282 0.5283 0.4152  6 O 2.35-2.44
Ca 0.0314 0.0313 0.9059  6 O 2.35-2.44
Zr 0.8113 0.8114 0.5658  6 O 2.06-2.20
Tl 0.3120 0.3121 0.0638  6 O 2.23-2.35
O 0.6158 0.1734 0.2690  1 Zr 2.20, 1 Tl 2.23, 2 Ca 2.35-2.44
O 0.1734 0.9419 0.2690  1 Zr 2.20, 1 Tl 2.23, 2 Ca 2.35-2.44
O 0.9419 0.6158 0.2689  1 Zr 2.20, 1 Tl 2.23, 2 Ca 2.35-2.44
O 0.4620 0.6945 0.7525  1 Zr 2.06
O 0.6946 0.0909 0.7526  1 Zr 2.06
O 0.0909 0.4620 0.7526  1 Zr 2.06

Values from the calculation:
Its symmetry is No. 146. The value obtained for the density of states at the Fermi level is 6.392 states/eV/cell. The uncorrected formation energy is -2.278 eV per atom.

***

Record 3
Density functional theory data (GGA-PBE) for La3Dy2TmSb6 after structural relaxation.

Cell lengths 7.8026, 7.8026, 7.7704 Å; angles 99.63, 99.63, 119.99 degrees
Closest atoms and distances in Å follow each position.
Atoms (fractional coordinates):
La 0.1673 0.8327 0.5000  6 Sb 3.24-3.25
La 0.8327 0.1673 0.5000  6 Sb 3.24-3.25
La 0.5000 0.5000 0.5000  6 Sb 3.24-3.25
Dy 0.3336 0.6664 0.0000  6 Sb 3.13
Dy 0.6664 0.3336 0.0000  6 Sb 3.13
Tm 0.0000 0.0000 0.0000  6 Sb 3.11
Sb 0.9217 0.5900 0.7648  1 Tm 3.11, 2 Dy 3.13, 3 La 3.24-3.25
Sb 0.7472 0.7472 0.2360  1 Tm 3.11, 2 Dy 3.13, 3 La 3.24-3.25
Sb 0.0783 0.4100 0.2352  1 Tm 3.11, 2 Dy 3.13, 3 La 3.24-3.25
Sb 0.5900 0.9217 0.7648  1 Tm 3.11, 2 Dy 3.13, 3 La 3.24-3.25
Sb 0.2528 0.2528 0.7640  1 Tm 3.11, 2 Dy 3.13, 3 La 3.24-3.25
Sb 0.4100 0.0783 0.2352  1 Tm 3.11, 2 Dy 3.13, 3 La 3.24-3.25

Values from the calculation:
Its symmetry is No. 12. The value obtained for the density of states at the Fermi level is 2.191 states/eV/cell. The uncorrected formation energy is -1.188 eV per atom.

***

Record 4
Density functional theory data (GGA-PBE) for Zr3CdH after structural relaxation.

Cell lengths 4.4839, 4.4839, 4.4839 Å; angles 90.00, 90.00, 90.00 degrees
Closest atoms and distances in Å follow each position.
Atoms (fractional coordinates):
H 0.0000 0.0000 0.0000  6 Zr 2.24
Zr 0.0000 0.5000 0.0000  2 H 2.24
Zr 0.0000 0.0000 0.5000  2 H 2.24
Zr 0.5000 0.0000 0.0000  2 H 2.24
Cd 0.5000 0.5000 0.5000  12 Zr 3.17

Values from the calculation:
Its symmetry is No. 221. The value obtained for the density of states at the Fermi level is 2.064 states/eV/cell. For the energy relative to the lowest polymorph listed for this composition, the calculation gives 0.0 meV per atom.

***

Record 5
Density functional theory data (GGA-PBE) for ZrCoP2 after structural relaxation.

Cell lengths 4.4620, 4.4620, 4.4620 Å; angles 130.77, 109.45, 90.80 degrees
Closest atoms and distances in Å follow each position.
Atoms (fractional coordinates):
Co 0.2500 0.7500 0.5000  4 P 2.21
P 0.0581 0.0581 0.0000  2 Co 2.21, 1 P 2.40
P 0.4419 0.4419 0.0000  2 Co 2.21, 1 P 2.40
Zr 0.7500 0.2500 0.5000  8 P 2.68-2.84

Values from the calculation:
Its symmetry is No. 71. The value obtained for the density of states at the Fermi level is 3.853 states/eV/cell. For the energy relative to the lowest polymorph listed for this composition, the calculation gives 122.9 meV per atom.

***

Record 6
Density functional theory data (GGA-PBE) for CuAg3Au3 after structural relaxation.

Cell lengths 5.0261, 5.0261, 10.6129 Å; angles 97.91, 97.91, 107.49 degrees
Closest atoms and distances in Å follow each position.
Atoms (fractional coordinates):
Cu 0.6672 0.6672 0.8900  4 Au 2.64-2.68, 5 Ag 2.75-2.92
Cu 0.3328 0.3328 0.1100  4 Au 2.64-2.68, 5 Ag 2.75-2.92
Ag 0.5836 0.5836 0.3818  5 Au 2.86-2.99, 5 Ag 2.91-2.95, 1 Cu 2.92
Ag 0.1826 0.8174 0.5000  4 Au 2.84-2.89, 7 Ag 2.91-3.17
Ag 0.8174 0.1826 0.5000  4 Au 2.84-2.89, 7 Ag 2.91-3.17
Ag 0.2333 0.7667 0.0000  4 Cu 2.75-2.79, 6 Au 2.87-2.97, 2 Ag 2.98
Ag 0.7667 0.2333 0.0000  4 Cu 2.75-2.79, 6 Au 2.87-2.97, 2 Ag 2.98
Ag 0.4164 0.4164 0.6182  5 Au 2.86-2.99, 5 Ag 2.91-2.95, 1 Cu 2.92
Au 0.7875 0.7875 0.1494  2 Cu 2.64-2.68, 2 Au 2.85, 2 Ag 2.94
Au 0.0139 0.6305 0.7265  1 Cu 2.65, 5 Ag 2.84-2.89, 2 Au 2.85-2.97
Au 0.6305 0.0139 0.7265  1 Cu 2.65, 5 Ag 2.84-2.89, 2 Au 2.85-2.97
Au 0.9861 0.3695 0.2735  1 Cu 2.65, 5 Ag 2.84-2.89, 2 Au 2.85-2.97
Au 0.3695 0.9861 0.2735  1 Cu 2.65, 5 Ag 2.84-2.89, 2 Au 2.85-2.97
Au 0.2125 0.2125 0.8506  2 Cu 2.64-2.68, 2 Au 2.85, 2 Ag 2.94

Values from the calculation:
Its symmetry is No. 12. The value obtained for the density of states at the Fermi level is 2.586 states/eV/cell. For the energy relative to the lowest polymorph listed for this composition, the calculation gives 0.0 meV per atom.

***

Number 1: energy -82.45 eV/cell. Number 2: energy -67.45 eV/cell. Number 3: energy -67.45 eV/cell. Number 4: energy -31.12 eV/cell. Number 5: energy -28.88 eV/cell. Number 6: energy -44.47 eV/cell.